# SrMg2InAg4

Crystalline SrMg2InAg4 at its relaxed geometry (PBE-GGA, the Alexandria database).

Lattice parameters (Å, degrees): 4.7681 4.7681 9.7418 75.83 75.83 60.00
Closest atoms and distances in Å follow each position.
Sites, in units of the cell vectors:
Sr: 0.0000 0.0000 0.0000  8 Ag 3.33-3.52
Mg: 0.7626 0.7626 0.7121  7 Ag 2.87-3.14
Mg: 0.2374 0.2374 0.2879  7 Ag 2.87-3.14
In: 0.5000 0.5000 0.5000  8 Ag 2.80-2.99
Ag: 0.4002 0.4002 0.7993  1 In 2.80, 3 Mg 2.87
Ag: 0.8745 0.8745 0.3764  4 Mg 2.87-3.14, 3 In 2.99, 3 Ag 3.21
Ag: 0.1255 0.1255 0.6236  4 Mg 2.87-3.14, 3 In 2.99, 3 Ag 3.21
Ag: 0.5998 0.5998 0.2007  1 In 2.80, 3 Mg 2.87

Calculated values
Its energy relative to the elements is -0.163 eV per atom. Its volume is 23.00 A^3/atom. As for the theoretical density: 6.16 g/cm³. The value obtained for the density of states at the Fermi level is 4.043 states/eV/f.u. The total energy is -20.32 eV/cell.



# SrMgIn2Ag4

Crystalline SrMgIn2Ag4 at its relaxed geometry (PBE-GGA, the Alexandria database).

Lattice parameters (Å, degrees): 4.8143 4.8143 9.4666 75.27 75.27 60.00
Closest atoms and distances in Å follow each position.
Sites, in units of the cell vectors:
Sr: 0.0000 0.0000 0.0000  8 Ag 3.31-3.64, 6 In 3.67
Mg: 0.5000 0.5000 0.5000  8 Ag 2.73-2.92
In: 0.7549 0.7549 0.7353  7 Ag 2.84-3.04
In: 0.2451 0.2451 0.2647  7 Ag 2.84-3.04
Ag: 0.3993 0.3993 0.8021  1 Mg 2.73, 3 In 2.84
Ag: 0.8660 0.8660 0.4020  3 Mg 2.92, 4 In 3.02-3.04
Ag: 0.1340 0.1340 0.5980  3 Mg 2.92, 4 In 3.02-3.04
Ag: 0.6007 0.6007 0.1979  1 Mg 2.73, 3 In 2.84

Calculated values
Its energy relative to the elements is -0.201 eV per atom. Its volume is 22.70 A^3/atom. As for the theoretical density: 7.07 g/cm³. The value obtained for the density of states at the Fermi level is 2.744 states/eV/f.u. The total energy is -21.76 eV/cell.